Record 1
Compound: Hg2PbS2I2
Source: Alexandria
Functional: PBE
Structure: optimized geometry

Output
Spin magnetization = 0.000 μB/atom
Formation energy without anion corrections = -333.9 meV per atom
DFT total energy = -2.57 eV per atom

abc: 13.827 13.827 4.682
angles: 90.00 90.00 90.00
Element x y z (fractional)
S 0.738 0.428 0.000
Hg 0.912 0.834 0.000
S 0.262 0.572 0.000
Hg 0.334 0.412 0.000
I 0.500 0.500 0.500
S 0.572 0.738 0.000
I 0.000 0.000 0.500
I 0.500 0.000 0.000
Hg 0.666 0.588 0.000
I 0.000 0.500 0.000
S 0.928 0.238 0.000
Hg 0.412 0.666 0.000
Hg 0.834 0.088 0.000
Hg 0.166 0.912 0.000
S 0.072 0.762 0.000
Pb 0.635 0.865 0.500
Hg 0.588 0.334 0.000
I 0.303 0.803 0.500
I 0.803 0.697 0.500
S 0.238 0.072 0.000
I 0.197 0.303 0.500
Pb 0.365 0.135 0.500
Hg 0.088 0.166 0.000
S 0.762 0.928 0.000
Pb 0.865 0.365 0.500
I 0.697 0.197 0.500
Pb 0.135 0.635 0.500
S 0.428 0.262 0.000

***

Record 2
Compound: HgSb2PbI
Source: Alexandria
Functional: PBE
Structure: optimized geometry

Output
Spin magnetization = 0.459 μB/atom
Formation energy without anion corrections = 565.9 meV per atom
Energy above the most stable polymorph in this dataset = 40.9 meV/atom
DFT total energy = -2.20 eV per atom

abc: 5.997 5.997 6.301
angles: 90.00 90.00 90.00
Each line ends with the local moment (μB).
Element x y z (fractional)
Sb 0.500 0.000 0.000  0.40
Pb 0.000 0.000 0.000  0.00
I 0.000 0.000 0.500  0.13
Hg 0.500 0.500 0.500  0.03
Sb 0.000 0.500 0.000  0.40